[1]
{"formula": "Pu2ZnPt3", "functional": "PBE", "state": "optimized geometry", "lattice": [[5.5695, 0.0000, 0.0000], [-2.7847, 4.8233, 0.0000], [0.0000, 0.0000, 8.4213]], "species": ["Pu", "Pu", "Pu", "Pu", "Zn", "Zn", "Pt", "Pt", "Pt", "Pt", "Pt", "Pt"], "fractional_positions": [[0.3333, 0.6667, 0.0692], [0.3333, 0.6667, 0.4308], [0.6667, 0.3333, 0.5692], [0.6667, 0.3333, 0.9308], [0.0000, 0.0000, 0.0000], [0.0000, 0.0000, 0.5000], [0.1687, 0.3374, 0.7500], [0.1687, 0.8313, 0.7500], [0.3374, 0.1687, 0.2500], [0.6626, 0.8313, 0.7500], [0.8313, 0.1687, 0.2500], [0.8313, 0.6626, 0.2500]], "polymorph_energy_ev_per_atom": 0.000, "formation_energy_kj_per_mol_atoms": -76.86}



[2]
{"formula": "Tm4CNO2", "functional": "PBE", "state": "optimized geometry", "lattice": [[-2.4128, 2.4128, 4.7920], [2.4128, -2.4128, 4.7920], [2.4128, 2.4128, -4.7920]], "species": ["Tm", "Tm", "Tm", "Tm", "C", "N", "O", "O"], "fractional_positions": [[0.0000, 0.5000, 0.5000], [0.2491, 0.2491, 0.0000], [0.5000, 0.0000, 0.5000], [0.7509, 0.7509, 0.0000], [0.5000, 0.5000, 0.0000], [0.0000, 0.0000, 0.0000], [0.2500, 0.7500, 0.5000], [0.7500, 0.2500, 0.5000]], "e_tot_ev_per_atom": -7.790}



[3]
{"formula": "MoP2Ru", "functional": "PBE", "state": "optimized geometry", "lattice": [[4.1972, 0.0000, 0.0000], [0.0000, 4.1972, 0.0000], [0.0000, 0.0000, 2.9766]], "species": ["Mo", "P", "P", "Ru"], "fractional_positions": [[0.0000, 0.0000, 0.0000], [0.0000, 0.5000, 0.5000], [0.5000, 0.0000, 0.5000], [0.5000, 0.5000, 0.0000]], "formation_energy_kj_per_mol_atoms": -34.95}